# GGA+U PmCo2SbO6, optimized geometry
# - total DFT energy (no corrections) (eV/atom) = -6.44
# - total magnetic moment (μB per atom) = 0.000
data_PmCo2SbO6
_chemical_formula_sum 'Pm3 Co6 Sb3 O18'
_space_group_name_H-M_alt 'R 3'
_space_group_IT_number 146
_space_group_name_Hall 'R 3'
_cell_length_a 5.4321
_cell_length_b 5.4321
_cell_length_c 12.9198
_cell_angle_alpha 90.00
_cell_angle_beta 90.00
_cell_angle_gamma 120.00
loop_
_atom_site_label
_atom_site_type_symbol
_atom_site_fract_x
_atom_site_fract_y
_atom_site_fract_z
Pm1 Pm 0.0000 0.0000 0.0000
Co1 Co 0.0000 0.0000 0.2419
Co2 Co 0.0000 0.0000 0.7452
Sb1 Sb 0.0000 0.0000 0.5207
O1 O 0.0855 0.3382 0.8234
O2 O 0.1060 0.7462 0.3134